Entry 1:
This record from the Alexandria database describes a relaxed Cs5KSe crystal. The functional is PBE-GGA.

abc: 18.1290 10.4666 14.5888
angles: 90.00 113.62 90.00
With the nearest neighbours (Å) after each atom.
Space group C2/c (No. 15)
Asymmetric unit:
Cs: 0.0000 0.0077 0.2500 [4 per cell]  2 Se 3.65
Cs: 0.1374 0.2474 0.0629 [8 per cell]  1 Se 3.45
Cs: 0.1519 0.2246 0.5820 [8 per cell]  1 Se 3.45
K: 0.0000 0.4969 0.2500 [4 per cell]  10 Cs 5.01-5.35
Se: 0.0000 0.0000 0.0000 [4 per cell]  6 Cs 3.45-3.65

Computed properties:
Formation energy from raw total energies: -0.421 eV/atom



Entry 2:
This record from the Alexandria database describes a relaxed CsK2Se2 crystal. The functional is PBE-GGA.

abc: 9.5847 9.5847 3.6811
angles: 90.00 90.00 90.00
With the nearest neighbours (Å) after each atom.
Space group P4/mbm (No. 127)
Asymmetric unit:
Cs: 0.0000 0.0000 0.0000 [2 per cell]  2 Cs 3.68, 4 K 3.80, 8 Se 3.99
K: 0.1225 0.3775 0.0000 [4 per cell]  6 Se 3.31-3.43, 3 K 3.32-3.68
Se: 0.1748 0.6748 0.5000 [4 per cell]  6 K 3.31-3.43, 2 Se 3.68

Computed properties:
Energy above the lowest structure with this stoichiometry: 63 meV per atom
Formation energy from raw total energies: -0.929 eV/atom



Question: Number 2 is which compound?
Answer: CsK2Se2